(1)
Here is a geometry-optimized NaSr2MgPd structure from the Alexandria database. Energies are from PBE.

Calculated values
Fermi-level density of states ... 0.335 states/eV per atom
Energy relative to the elements ... -265 meV per atom
Spin magnetization ... 0.00 μB per cell
Calculated density ... 2.94 g cm⁻³

Cell lengths 5.944, 5.944, 5.266 Å; angles 90.00, 90.00, 90.00 degrees
Atoms (fractional coordinates):
Sr (0.000, 0.500, 0.000)
Sr (0.500, 0.000, 0.000)
Mg (0.000, 0.000, 0.500)
Pd (0.000, 0.000, 0.000)
Na (0.500, 0.500, 0.500)


(2)
Here is a geometry-optimized Na2MgTePd structure from the Alexandria database. Energies are from PBE.

Calculated values
Fermi-level density of states ... 0.283 states/eV per atom
ΔE_f (raw) ... 105.7 meV per atom
Spin magnetization ... 0.00 μB per cell
Calculated density ... 3.48 g cm⁻³

Cell lengths 5.528, 4.748, 5.528 Å; angles 90.00, 90.00, 90.00 degrees
Atoms (fractional coordinates):
Na (0.000, 0.000, 0.500)
Na (0.500, 0.000, 0.000)
Mg (0.000, 0.000, 0.000)
Te (0.500, 0.500, 0.500)
Pd (0.000, 0.500, 0.000)


calculated density of number 1 (NaSr2MgPd)? 2.94 g cm⁻³